# 1
LaTlN2O | PBE-GGA | optimized geometry

Space-group type ... No. 123
ΔE_f (raw) ... 0.2452 eV/atom
Crystal system ... tetragonal

Structure (POSCAR):
```
LaTlN2O
1.0
-2.204 -3.569 2.688
1.145 -3.348 -3.507
3.891 -0.841 2.073
N Tl La O
2 1 1 1
direct
0.500 0.000 0.000
0.000 0.500 0.000
0.500 0.500 0.500
0.000 0.000 0.000
0.000 0.000 0.500
```

---

# 2
CoCuAu2 | PBE-GGA | optimized geometry

Space-group type ... No. 99
Crystal system ... tetragonal
ΔE_f ... 147 meV per atom

Structure (POSCAR):
```
CoCuAu2
1.0
2.821 0.037 0.000
-0.038 2.821 0.000
0.000 0.000 7.514
Au Cu Co
2 1 1
direct
0.500 0.500 0.277
0.000 0.000 0.974
0.500 0.500 0.726
0.000 0.000 0.522
```

---

# 3
Tm2Mg2Cd | PBE-GGA | optimized geometry

Space-group type ... No. 65
Crystal system ... orthorhombic
ΔE_f ... -81 meV per atom

Structure (POSCAR):
```
Tm2Mg2Cd
1.0
-2.529 -1.395 -1.678
-0.208 -3.655 3.354
-5.086 2.243 5.803
Tm Cd Mg
2 1 2
direct
0.500 0.607 0.786
0.500 0.393 0.214
0.000 0.000 0.000
0.000 0.799 0.401
0.000 0.201 0.599
```